Arrangement one

Material: Ta3ReRu2
Method: DFT, PBE
State: optimized geometry

```
Ta3ReRu2
1.0
-0.170 2.957 1.237
-0.717 -1.243 2.872
9.158 -0.363 2.129
Ta Re Ru
3 1 2
Direct
0.000 0.000 0.000
0.000 0.000 0.666
0.000 0.000 0.334
0.500 0.500 0.500
0.500 0.500 0.838
0.500 0.500 0.162
```

## Properties
As for the density of states at the Fermi level: 0.8238 states/eV/atom.

Arrangement two

Material: Ta3ReRu2
Method: DFT, PBE
State: optimized geometry

```
Ta3ReRu2
1.0
4.482 -0.005 0.018
2.234 6.731 0.009
-0.026 0.000 6.423
Ta Re Ru
6 2 4
Direct
0.832 0.336 0.753
0.500 0.000 0.249
0.168 0.664 0.247
0.832 0.336 0.247
0.168 0.664 0.753
0.500 0.000 0.751
0.335 0.330 0.000
0.665 0.670 0.000
0.000 0.000 0.000
0.000 0.000 0.500
0.335 0.330 0.500
0.665 0.670 0.500
```

## Properties
As for the density of states at the Fermi level: 0.9677 states/eV/atom.

On energetic grounds, arrangement one is preferred over the next structure by 7 meV per atom.

Arrangement one

Material: ZrTaReRu
Method: DFT, PBE
State: optimized geometry

```
ZrTaReRu
1.0
-0.247 2.683 3.698
-3.632 2.712 0.621
-3.017 -0.939 3.310
Re Ru Zr Ta
1 1 1 1
Direct
0.250 0.250 0.250
0.750 0.750 0.750
0.500 0.500 0.500
0.000 0.000 0.000
```

## Properties
As for the density of states at the Fermi level: 0.4339 states/eV/atom.

Arrangement two

Material: ZrTaReRu
Method: DFT, PBE
State: optimized geometry

```
ZrTaReRu
1.0
3.232 0.000 0.000
0.000 3.232 0.000
0.000 0.000 6.505
Zr Ta Re Ru
1 1 1 1
Direct
0.000 0.000 0.357
0.000 0.000 0.860
0.500 0.500 0.094
0.500 0.500 0.616
```

## Properties
As for the density of states at the Fermi level: 0.4025 states/eV/atom.

On energetic grounds, arrangement two is preferred over the next structure by 16 meV per atom.

Arrangement one

Material: ReTcRu2
Method: DFT, PBE
State: optimized geometry

```
ReTcRu2
1.0
4.736 0.005 -0.007
3.950 2.613 -0.007
0.784 0.236 4.647
Re Ru Tc
1 2 1
Direct
0.250 0.250 0.250
0.999 0.999 0.001
0.501 0.501 0.499
0.750 0.750 0.750
```

## Properties
As for the density of states at the Fermi level: 0.8982 states/eV/atom.

Arrangement two

Material: ReTcRu2
Method: DFT, PBE
State: optimized geometry

```
ReTcRu2
1.0
-2.620 4.015 2.861
0.557 -2.978 4.690
3.748 2.944 4.748
Re Tc Ru
2 2 4
Direct
0.000 0.000 0.000
0.750 0.250 0.500
0.500 0.500 0.000
0.250 0.750 0.500
0.623 0.125 0.250
0.127 0.625 0.250
0.375 0.377 0.750
0.875 0.873 0.750
```

## Properties
As for the density of states at the Fermi level: 1.2025 states/eV/atom.

Arrangement three

Material: ReTcRu2
Method: DFT, PBE
State: optimized geometry

```
ReTcRu2
1.0
4.350 0.000 0.000
0.000 2.758 0.000
0.000 0.000 4.765
Re Tc Ru
1 1 2
Direct
0.500 0.625 0.790
0.000 0.625 0.459
0.000 0.125 0.954
0.500 0.125 0.297
```

## Properties
As for the density of states at the Fermi level: 1.1124 states/eV/atom.

Arrangement four

Material: ReTcRu2
Method: DFT, PBE
State: optimized geometry

```
ReTcRu2
1.0
9.075 0.001 0.000
8.665 2.695 0.000
8.665 1.317 2.351
Re Ru Tc
1 2 1
Direct
0.750 0.750 0.750
0.000 0.000 0.000
0.500 0.500 0.500
0.250 0.250 0.250
```

## Properties
As for the density of states at the Fermi level: 1.0027 states/eV/atom.

On energetic grounds, arrangement three is preferred over the next structure by 125 meV per atom.

Arrangement one

Material: ReTcRu2
Method: DFT, PBE
State: optimized geometry

```
ReTcRu2
1.0
4.728 0.004 -0.003
3.940 2.614 -0.003
0.787 0.238 4.657
Re Ru Tc
1 2 1
Direct
0.252 0.252 0.241
0.998 0.998 0.008
0.751 0.751 0.742
0.498 0.498 0.509
```

## Properties
As for the density of states at the Fermi level: 1.0258 states/eV/atom.

Arrangement two

Material: ReTcRu2
Method: DFT, PBE
State: optimized geometry

```
ReTcRu2
1.0
4.723 0.001 0.001
1.562 4.457 -0.001
-3.143 -2.228 2.727
Re Ru Tc
1 2 1
Direct
0.250 0.750 0.500
0.000 0.000 0.000
0.750 0.250 0.500
0.500 0.500 0.000
```

## Properties
As for the density of states at the Fermi level: 0.9333 states/eV/atom.

Arrangement three

Material: ReTcRu2
Method: DFT, PBE
State: optimized geometry

```
ReTcRu2
1.0
-0.221 3.634 2.374
-3.375 -1.988 2.729
7.778 -3.936 6.750
Re Tc Ru
4 4 8
Direct
0.250 0.585 0.938
0.750 0.415 0.062
0.250 0.085 0.562
0.750 0.915 0.438
0.250 0.581 0.687
0.750 0.419 0.313
0.250 0.081 0.813
0.750 0.919 0.187
0.250 0.584 0.188
0.750 0.416 0.812
0.250 0.084 0.312
0.750 0.916 0.688
0.250 0.583 0.437
0.750 0.417 0.563
0.250 0.083 0.063
0.750 0.917 0.937
```

## Properties
As for the density of states at the Fermi level: 0.8405 states/eV/atom.

On energetic grounds, arrangement three is preferred over the next structure by 102 meV per atom.

Arrangement one

Material: ReTcRu2
Method: DFT, PBE
State: optimized geometry

```
ReTcRu2
1.0
4.698 0.271 -0.468
-1.883 4.313 -0.468
0.244 0.398 2.678
Re Ru Tc
1 2 1
Direct
0.000 0.500 0.500
0.000 0.000 0.000
0.500 0.500 0.000
0.500 0.000 0.500
```

## Properties
As for the density of states at the Fermi level: 0.9050 states/eV/atom.

Arrangement two

Material: ReTcRu2
Method: DFT, PBE
State: optimized geometry

```
ReTcRu2
1.0
-0.247 2.643 3.461
-3.760 1.993 0.959
-2.279 -1.216 3.515
Re Tc Ru
1 1 2
Direct
0.500 0.500 0.500
0.000 0.000 0.000
0.250 0.250 0.250
0.750 0.750 0.750
```

## Properties
As for the density of states at the Fermi level: 1.7197 states/eV/atom.

On energetic grounds, arrangement one is preferred over the next structure by 491 meV per atom.

Arrangement one

Material: ReTcRu2
Method: DFT, PBE
State: optimized geometry

```
ReTcRu2
1.0
-2.555 0.788 -0.211
0.458 -2.068 1.646
1.204 5.745 6.885
Re Ru Tc
1 2 1
Direct
0.500 0.500 0.750
0.000 0.000 0.000
0.000 0.000 0.500
0.500 0.500 0.250
```

## Properties
As for the density of states at the Fermi level: 1.3225 states/eV/atom.

Arrangement two

Material: ReTcRu2
Method: DFT, PBE
State: optimized geometry

```
ReTcRu2
1.0
-0.833 3.838 2.618
-3.226 -1.018 3.292
4.015 -2.151 -1.237
Re Ru Tc
1 2 1
Direct
0.250 0.750 0.500
0.000 0.000 0.000
0.500 0.500 0.000
0.750 0.250 0.500
```

## Properties
As for the density of states at the Fermi level: 0.8090 states/eV/atom.

On energetic grounds, arrangement two is preferred over the next structure by 371 meV per atom.